(1)
# PBE BaBiPb4, optimized geometry
data_BaBiPb4
_cell_length_a 9.3919
_cell_length_b 9.3919
_cell_length_c 9.3919
_cell_angle_alpha 90.00
_cell_angle_beta 90.00
_cell_angle_gamma 90.00
_space_group_name_H-M_alt 'F -4 3 m'
_space_group_IT_number 216
_space_group_name_Hall 'F -4 2 3'
loop_
_atom_site_label
_atom_site_type_symbol
_atom_site_fract_x
_atom_site_fract_y
_atom_site_fract_z
_atom_site_occupancy
Ba1 Ba 0.0000 0.0000 0.0000 1
Bi1 Bi 0.2500 0.2500 0.2500 1
Pb1 Pb 0.1242 0.1242 0.6242 1
# ΔH_f (0 K) = -170 meV per atom

---

(2)
# PBE BaBi2Pb2, optimized geometry
data_BaBi2Pb2
_cell_length_a 4.9829
_cell_length_b 29.3815
_cell_length_c 4.9123
_cell_angle_alpha 90.00
_cell_angle_beta 90.00
_cell_angle_gamma 90.00
_space_group_name_H-M_alt 'C m c m'
_space_group_IT_number 63
_space_group_name_Hall '-C 2c 2'
loop_
_atom_site_label
_atom_site_type_symbol
_atom_site_fract_x
_atom_site_fract_y
_atom_site_fract_z
_atom_site_occupancy
Ba1 Ba 0.0000 0.1573 0.2500 1
Bi1 Bi 0.0000 0.2512 0.7500 1
Bi2 Bi 0.0000 0.3788 0.2500 1
Pb1 Pb 0.0000 0.0428 0.7500 1
Pb2 Pb 0.0000 0.4524 0.7500 1
# ΔH_f (0 K) = -359 meV per atom

---

(3)
# PBE Ba2Bi4Pb, optimized geometry
data_Ba2Bi4Pb
_cell_length_a 9.9374
_cell_length_b 9.9571
_cell_length_c 10.8150
_cell_angle_alpha 90.00
_cell_angle_beta 90.00
_cell_angle_gamma 90.00
_space_group_name_H-M_alt 'F m m m'
_space_group_IT_number 69
_space_group_name_Hall '-F 2 2'
loop_
_atom_site_label
_atom_site_type_symbol
_atom_site_fract_x
_atom_site_fract_y
_atom_site_fract_z
_atom_site_occupancy
Ba1 Ba 0.2500 0.2500 0.0000 1
Bi1 Bi 0.0000 0.2500 0.2500 1
Bi2 Bi 0.2500 0.0000 0.2500 1
Pb1 Pb 0.0000 0.0000 0.0000 1
# ΔH_f (0 K) = -477 meV per atom

---

(4)
# PBE Ba3Bi2Pb5, optimized geometry
data_Ba3Bi2Pb5
_cell_length_a 14.2460
_cell_length_b 15.4325
_cell_length_c 7.1935
_cell_angle_alpha 90.00
_cell_angle_beta 90.00
_cell_angle_gamma 90.00
_space_group_name_H-M_alt 'I b a m'
_space_group_IT_number 72
_space_group_name_Hall '-I 2 2c'
loop_
_atom_site_label
_atom_site_type_symbol
_atom_site_fract_x
_atom_site_fract_y
_atom_site_fract_z
_atom_site_occupancy
Ba1 Ba 0.0000 0.0000 0.2500 1
Ba2 Ba 0.1235 0.2648 0.0000 1
Bi1 Bi 0.1310 0.1570 0.5000 1
Pb1 Pb 0.0000 0.5000 0.2500 1
Pb2 Pb 0.1310 0.3630 0.5000 1
Pb3 Pb 0.2483 0.5000 0.2500 1
# ΔH_f (0 K) = -384 meV per atom

---

(5)
# PBE BaBi4Pb, optimized geometry
data_BaBi4Pb
_cell_length_a 9.4864
_cell_length_b 9.4864
_cell_length_c 9.4864
_cell_angle_alpha 90.00
_cell_angle_beta 90.00
_cell_angle_gamma 90.00
_space_group_name_H-M_alt 'F -4 3 m'
_space_group_IT_number 216
_space_group_name_Hall 'F -4 2 3'
loop_
_atom_site_label
_atom_site_type_symbol
_atom_site_fract_x
_atom_site_fract_y
_atom_site_fract_z
_atom_site_occupancy
Ba1 Ba 0.0000 0.0000 0.0000 1
Bi1 Bi 0.1238 0.1238 0.3762 1
Pb1 Pb 0.2500 0.2500 0.7500 1
# E above lowest polymorph = 0 meV/atom
# ΔH_f (0 K) = -215 meV per atom

---

(6)
# PBE BaBi2Pb2, optimized geometry
data_BaBi2Pb2
_cell_length_a 9.1385
_cell_length_b 9.1385
_cell_length_c 4.3534
_cell_angle_alpha 90.00
_cell_angle_beta 90.00
_cell_angle_gamma 90.00
_space_group_name_H-M_alt 'P 4/m b m'
_space_group_IT_number 127
_space_group_name_Hall '-P 4 2ab'
loop_
_atom_site_label
_atom_site_type_symbol
_atom_site_fract_x
_atom_site_fract_y
_atom_site_fract_z
_atom_site_occupancy
Ba1 Ba 0.0000 0.0000 0.0000 1
Bi1 Bi 0.1328 0.3672 0.0000 1
Pb1 Pb 0.1535 0.6535 0.5000 1
# ΔH_f (0 K) = -233 meV per atom

---

(7)
# PBE BaBiPb3, optimized geometry
data_BaBiPb3
_cell_length_a 5.5201
_cell_length_b 7.3978
_cell_length_c 9.7842
_cell_angle_alpha 103.37
_cell_angle_beta 106.35
_cell_angle_gamma 90.10
_space_group_name_H-M_alt 'P -1'
_space_group_IT_number 2
loop_
_space_group_symop_operation_xyz
'x,y,z'
'-x,-y,-z'
loop_
_atom_site_label
_atom_site_type_symbol
_atom_site_fract_x
_atom_site_fract_y
_atom_site_fract_z
_atom_site_occupancy
Ba1 Ba 0.0853 0.3482 0.1709 1
Bi1 Bi 0.4492 0.2972 0.8972 1
Pb1 Pb 0.1439 0.8980 0.2894 1
Pb2 Pb 0.2862 0.3637 0.5720 1
Pb3 Pb 0.3070 0.8272 0.6134 1
# E above lowest polymorph = 0 meV/atom
# ΔH_f (0 K) = -275 meV per atom

---

(8)
# PBE BaBi6Pb2, optimized geometry
data_BaBi6Pb2
_cell_length_a 16.5781
_cell_length_b 9.5472
_cell_length_c 4.3250
_cell_angle_alpha 90.00
_cell_angle_beta 104.62
_cell_angle_gamma 90.00
_space_group_name_H-M_alt 'C 1 2/m 1'
_space_group_IT_number 12
loop_
_space_group_symop_operation_xyz
'x,y,z'
'-x,-y,-z'
'-x,y,-z'
'x,-y,z'
'x+1/2,y+1/2,z'
'-x+1/2,-y+1/2,-z'
'-x+1/2,y+1/2,-z'
'x+1/2,-y+1/2,z'
loop_
_atom_site_label
_atom_site_type_symbol
_atom_site_fract_x
_atom_site_fract_y
_atom_site_fract_z
_atom_site_occupancy
Ba1 Ba 0.0000 0.0000 0.0000 1
Bi1 Bi 0.0000 0.3071 0.5000 1
Bi2 Bi 0.1893 0.1729 0.6902 1
Pb1 Pb 0.1179 0.5000 0.1123 1
# ΔH_f (0 K) = -67 meV per atom